A plane-wave DFT calculation with PBE was carried out for a relaxed structure of CsRbZn2Ir.

a = 5.078 Å, b = 5.078 Å, c = 6.007 Å
α = 90.00°, β = 90.00°, γ = 90.00°
Space group P4/mmm (No. 123)
Inequivalent atoms, fractional coordinates:
Cs  0.000  0.000  0.000 x1
Rb  0.500  0.500  0.000 x1
Zn  0.000  0.500  0.500 x2
Ir  0.000  0.000  0.500 x1

Its formation energy from the elements is 0.25 eV/atom. Its total energy is -2.394 eV per atom. Its density of states at the Fermi level is 0.6073 states/eV per atom. The volume is 31.0 Å³ per atom.



A plane-wave DFT calculation with PBE was carried out for a relaxed structure of CsRbZr2Ir.

a = 5.145 Å, b = 5.145 Å, c = 6.959 Å
α = 90.00°, β = 90.00°, γ = 90.00°
Space group P4/mmm (No. 123)
Inequivalent atoms, fractional coordinates:
Cs  0.000  0.000  0.000 x1
Rb  0.500  0.500  0.000 x1
Zr  0.000  0.500  0.500 x2
Ir  0.500  0.500  0.500 x1

Its formation energy from the elements is 0.53 eV/atom. Its total energy is -5.029 eV per atom. Its density of states at the Fermi level is 1.1548 states/eV per atom. The volume is 36.8 Å³ per atom.



A plane-wave DFT calculation with PBE was carried out for a relaxed structure of CsReIr3.

a = 4.851 Å, b = 4.851 Å, c = 4.851 Å
α = 90.00°, β = 90.00°, γ = 90.00°
Space group Pm-3m (No. 221)
Inequivalent atoms, fractional coordinates:
Cs  0.000  0.000  0.000 x1
Re  0.500  0.500  0.500 x1
Ir  0.000  0.000  0.500 x3

Its formation energy from the elements is 3.86 eV/atom. Its total energy is -4.112 eV per atom. As for the polymorph energy (0 for the lowest one): 2439 meV/atom. Its density of states at the Fermi level is 2.6743 states/eV per atom. The volume is 22.8 Å³ per atom.



- Which of these has the highest total energy?
  CsRbZn2Ir



- What is the volume in the first record?
  31.0 Å³ per atom



Please write out number 2 again, unchanged.
A plane-wave DFT calculation with PBE was carried out for a relaxed structure of CsRbZr2Ir.

a = 5.145 Å, b = 5.145 Å, c = 6.959 Å
α = 90.00°, β = 90.00°, γ = 90.00°
Space group P4/mmm (No. 123)
Inequivalent atoms, fractional coordinates:
Cs  0.000  0.000  0.000 x1
Rb  0.500  0.500  0.000 x1
Zr  0.000  0.500  0.500 x2
Ir  0.500  0.500  0.500 x1

Its formation energy from the elements is 0.53 eV/atom. Its total energy is -5.029 eV per atom. Its density of states at the Fermi level is 1.1548 states/eV per atom. The volume is 36.8 Å³ per atom.